No. 1
The following is a GGA-PBE calculation of a relaxed LiCd6Pd crystal, from the Alexandria database.

a = 5.463 Å, b = 5.464 Å, c = 5.503 Å
α = 94.31°, β = 93.52°, γ = 93.63°
Element x y z (fractional)
Li: 0.000 0.000 0.000
Cd: 0.042 0.749 0.450
Cd: 0.251 0.549 0.956
Cd: 0.453 0.041 0.749
Cd: 0.547 0.959 0.251
Cd: 0.749 0.451 0.044
Cd: 0.958 0.251 0.550
Pd: 0.500 0.500 0.500

Calculated values
energy: -0.1250 Ry per atom
ΔE to the lowest computed polymorph: 50 meV per atom
N(E_F): 2.3 states/eV per cell
energy of formation: -0.13 eV per atom
V: 20.39 A^3/atom

=====

No. 2
The following is a GGA-PBE calculation of a relaxed Li2Ni7Rh2 crystal, from the Alexandria database.

a = 6.046 Å, b = 6.046 Å, c = 6.046 Å
α = 137.23°, β = 102.50°, γ = 92.84°
Element x y z (fractional)
Li: 0.198 0.000 0.198
Li: 0.802 0.000 0.802
Ni: 0.000 0.500 0.500
Ni: 0.077 0.742 0.335
Ni: 0.407 0.742 0.665
Ni: 0.500 0.246 0.746
Ni: 0.500 0.754 0.254
Ni: 0.593 0.258 0.335
Ni: 0.923 0.258 0.665
Rh: 0.237 0.237 0.000
Rh: 0.763 0.763 0.000

Calculated values
energy: -0.3799 Ry per atom
N(E_F): 18.2 states/eV per cell
energy of formation: 0.19 eV per atom
V: 12.65 A^3/atom

=====

No. 3
The following is a GGA-PBE calculation of a relaxed CeSm3Dy crystal, from the Alexandria database.

a = 11.833 Å, b = 11.833 Å, c = 7.118 Å
α = 100.34°, β = 100.34°, γ = 131.96°
Element x y z (fractional)
Ce: 0.112 0.638 0.817
Ce: 0.362 0.888 0.183
Ce: 0.638 0.112 0.817
Ce: 0.888 0.362 0.183
Sm: 0.079 0.921 0.000
Sm: 0.176 0.824 0.500
Sm: 0.177 0.460 0.003
Sm: 0.206 0.429 0.500
Sm: 0.429 0.206 0.500
Sm: 0.460 0.177 0.003
Sm: 0.540 0.823 0.997
Sm: 0.571 0.794 0.500
Sm: 0.794 0.571 0.500
Sm: 0.823 0.540 0.997
Sm: 0.824 0.176 0.500
Sm: 0.921 0.079 0.000
Dy: 0.165 0.165 0.706
Dy: 0.426 0.426 0.210
Dy: 0.574 0.574 0.790
Dy: 0.835 0.835 0.294

Calculated values
energy: -0.3473 Ry per atom
N(E_F): 39.7 states/eV per cell
energy of formation: 0.21 eV per atom
V: 33.26 A^3/atom

=====

No. 4
The following is a GGA-PBE calculation of a relaxed ZrTlIO6 crystal, from the Alexandria database.

a = 5.499 Å, b = 5.499 Å, c = 6.186 Å
α = 90.00°, β = 90.00°, γ = 120.00°
Element x y z (fractional)
Zr: 0.000 0.000 0.000
Tl: 0.667 0.333 0.500
I: 0.333 0.667 0.000
O: 0.069 0.363 0.177
O: 0.069 0.706 0.823
O: 0.294 0.363 0.823
O: 0.294 0.931 0.177
O: 0.637 0.706 0.177
O: 0.637 0.931 0.823

Calculated values
energy: -0.4440 Ry per atom
V: 18.00 A^3/atom
uncorrected formation energy: -1.350 eV/atom

=====

No. 5
The following is a GGA-PBE calculation of a relaxed Li2CuPO4 crystal, from the Alexandria database.

a = 5.044 Å, b = 6.112 Å, c = 5.500 Å
α = 90.00°, β = 90.11°, γ = 90.00°
Element x y z (fractional)
Li: 0.000 0.000 0.000
Li: 0.003 0.254 0.521
Li: 0.003 0.746 0.521
Li: 0.512 0.500 0.701
Cu: 0.525 0.218 0.186
Cu: 0.525 0.782 0.186
P: 0.021 0.500 0.019
P: 0.507 0.000 0.665
O: 0.330 0.500 0.013
O: 0.385 0.000 0.927
O: 0.400 0.212 0.540
O: 0.400 0.788 0.540
O: 0.814 0.000 0.672
O: 0.910 0.500 0.754
O: 0.928 0.291 0.161
O: 0.928 0.709 0.161

Calculated values
energy: -0.4474 Ry per atom
ΔE to the lowest computed polymorph: 14 meV per atom
V: 10.60 A^3/atom
uncorrected formation energy: -1.942 eV/atom

=====

No. 6
The following is a GGA-PBE calculation of a relaxed Zn2Te crystal, from the Alexandria database.

a = 4.044 Å, b = 4.044 Å, c = 5.488 Å
α = 90.00°, β = 90.00°, γ = 90.00°
Element x y z (fractional)
Zn: 0.000 0.000 0.000
Zn: 0.500 0.500 0.500
Te: 0.000 0.000 0.500

Calculated values
energy: -0.1185 Ry per atom
ΔE to the lowest computed polymorph: 405 meV per atom
N(E_F): 1.7 states/eV per cell
V: 29.91 A^3/atom
uncorrected formation energy: 0.284 eV/atom

=====

No. 7
The following is a GGA-PBE calculation of a relaxed Rb2TiAlI crystal, from the Alexandria database.

a = 6.871 Å, b = 6.871 Å, c = 5.367 Å
α = 90.00°, β = 90.00°, γ = 90.00°
Element x y z (fractional)
Rb: 0.000 0.500 0.000
Rb: 0.500 0.000 0.000
Ti: 0.000 0.000 0.500
Al: 0.500 0.500 0.500
I: 0.000 0.000 0.000

Calculated values
energy: -0.1803 Ry per atom
N(E_F): 8.9 states/eV per cell
V: 50.68 A^3/atom
uncorrected formation energy: 0.571 eV/atom

=====

No. 8
The following is a GGA-PBE calculation of a relaxed BaZnBr2 crystal, from the Alexandria database.

a = 7.727 Å, b = 7.727 Å, c = 7.727 Å
α = 105.98°, β = 105.98°, γ = 116.70°
Element x y z (fractional)
Ba: 0.000 0.000 0.000
Ba: 0.750 0.250 0.500
Zn: 0.250 0.750 0.500
Zn: 0.500 0.500 0.000
Br: 0.076 0.625 0.951
Br: 0.375 0.326 0.451
Br: 0.674 0.125 0.049
Br: 0.875 0.924 0.549

Calculated values
energy: -0.2105 Ry per atom
ΔE to the lowest computed polymorph: 114 meV per atom
N(E_F): 0.0 states/eV per cell
V: 43.86 A^3/atom
uncorrected formation energy: -1.228 eV/atom